Entry 1:
Entry from Alexandria via LeMat-Bulk: crystalline LiAgBr2 at its relaxed geometry (PBE).

The formation energy from raw total energies is -0.80 eV per atom. As for the energy above the most stable polymorph in this dataset: 3.24 kcal/mol of atoms.

The space group is Immm (No. 71) and the conventional cell measures 3.895, 7.552 and 7.615 Å, with angles of 90.00, 90.00 and 90.00 degrees. The asymmetric unit holds Li at (0.000, 0.000, 0.000), Ag at (0.000, 0.500, 0.000) and Br at (0.000, 0.261, 0.500).



Entry 2:
Entry from Alexandria via LeMat-Bulk: crystalline Pr2Tc2N5 at its relaxed geometry (PBE).

The formation energy from raw total energies is -0.63 eV per atom. As for the energy above the most stable polymorph in this dataset: 0.00 kcal/mol of atoms.

The space group is Ima2 (No. 46) and the conventional cell measures 15.879, 5.654 and 5.595 Å, with angles of 90.00, 90.00 and 90.00 degrees. The asymmetric unit holds Pr at (0.109, 0.006, 0.000), Tc at (0.000, 0.000, 0.506), Tc at (0.250, 0.555, 0.055), N at (0.007, 0.749, 0.257), N at (0.136, 0.029, 0.513) and N at (0.250, 0.631, 0.396).



Entry 3:
Entry from Alexandria via LeMat-Bulk: crystalline Ca6MgZn at its relaxed geometry (PBE).

The value obtained for the calculated formation energy is -62 meV/atom.

The space group is I4/mmm (No. 139) and the conventional cell measures 5.436, 5.436 and 18.942 Å, with angles of 90.00, 90.00 and 90.00 degrees. The asymmetric unit holds Ca at (0.000, 0.000, 0.248), Ca at (0.000, 0.500, 0.100), Mg at (0.000, 0.000, 0.000) and Zn at (0.000, 0.000, 0.500).



Entry 4:
Entry from Alexandria via LeMat-Bulk: crystalline CoHgSb3 at its relaxed geometry (PBE).

The formation energy from raw total energies is 0.32 eV per atom. As for the energy above the most stable polymorph in this dataset: 0.00 kcal/mol of atoms.

The space group is Pm-3m (No. 221) and the conventional cell measures 5.016, 5.016 and 5.016 Å, with angles of 90.00, 90.00 and 90.00 degrees. The asymmetric unit holds Co at (0.000, 0.000, 0.000), Hg at (0.500, 0.500, 0.500) and Sb at (0.000, 0.000, 0.500).



Entry 5:
Entry from Alexandria via LeMat-Bulk: crystalline Ac5La8Mg at its relaxed geometry (PBE).

The value obtained for the calculated formation energy is 208 meV/atom.

The space group is I-4 (No. 82) and the conventional cell measures 10.356, 10.356 and 10.424 Å, with angles of 90.00, 90.00 and 90.00 degrees. The asymmetric unit holds Ac at (0.000, 0.000, 0.000), Ac at (0.102, 0.209, 0.409), La at (0.066, 0.340, 0.077), La at (0.085, 0.196, 0.751) and Mg at (0.000, 0.500, 0.750).



Entry 6:
Entry from Alexandria via LeMat-Bulk: crystalline TmPu5Pb6 at its relaxed geometry (PBE).

The value obtained for the calculated formation energy is -165 meV/atom.

The space group is Cmmm (No. 65) and the conventional cell measures 4.946, 14.866 and 9.148 Å, with angles of 90.00, 90.00 and 90.00 degrees. The asymmetric unit holds Tm at (0.000, 0.000, 0.000), Pu at (0.000, 0.000, 0.500), Pu at (0.000, 0.327, 0.500), Pu at (0.000, 0.330, 0.000), Pb at (0.000, 0.164, 0.248) and Pb at (0.000, 0.500, 0.249).



In order of appearance, ρ = 4.072 7.244 1.959 8.223 6.745 12.998 g/cm³.
In order of appearance, calculated total energy = -2.83 -8.62 -1.92 -3.64 -4.19 -8.36 eV per atom.
In order of appearance, D(E_F) = 0.00 10.10 17.20 9.62 46.89 98.95 states/eV per cell.